Entry 1:
# RbCaTl5

Crystalline RbCaTl5 at its relaxed geometry (PBE, the Alexandria database).

Properties
Volume   36.19 A^3/atom
Magnetic moment   0.0 μB/f.u.
E_tot   -15.76 eV/cell
ΔE_f   -93 kJ/mol of formula units

POSCAR file:
```
RbCaTl5
1.0
4.672 0.000 0.000
0.000 4.672 0.000
0.000 0.000 11.609
Rb Ca Tl
1 1 5
direct
0.000 0.000 0.000
0.500 0.500 0.500
0.000 0.000 0.500
0.000 0.500 0.272
0.000 0.500 0.728
0.500 0.000 0.272
0.500 0.000 0.728
```

=====

Entry 2:
# Rb2CaTl2

Crystalline Rb2CaTl2 at its relaxed geometry (PBE, the Alexandria database).

Properties
Excess energy over the best structure of this formula in the dataset   141.2 meV per atom
Volume   43.42 A^3/atom
Magnetic moment   0.0 μB/f.u.
E_tot   -15.95 eV/cell
ΔE_f   67 kJ/mol of formula units

POSCAR file:
```
Rb2CaTl2
1.0
10.422 0.000 0.000
0.000 10.422 0.000
0.000 0.000 3.998
Rb Ca Tl
4 2 4
direct
0.126 0.374 0.000
0.374 0.874 0.000
0.626 0.126 0.000
0.874 0.626 0.000
0.000 0.000 0.000
0.500 0.500 0.000
0.175 0.675 0.500
0.325 0.175 0.500
0.675 0.825 0.500
0.825 0.325 0.500
```

=====

Entry 3:
# RbCaTl3

Crystalline RbCaTl3 at its relaxed geometry (PBE, the Alexandria database).

Properties
Excess energy over the best structure of this formula in the dataset   0.0 meV per atom
Volume   45.23 A^3/atom
Magnetic moment   0.0 μB/f.u.
E_tot   -9.37 eV/cell
ΔE_f   67 kJ/mol of formula units

POSCAR file:
```
RbCaTl3
1.0
6.093 0.000 0.000
0.000 6.093 0.000
0.000 0.000 6.093
Rb Ca Tl
1 1 3
direct
0.000 0.000 0.000
0.500 0.500 0.500
0.000 0.500 0.500
0.500 0.000 0.500
0.500 0.500 0.000
```

=====

Entry 4:
# RbCaTl

Crystalline RbCaTl at its relaxed geometry (PBE, the Alexandria database).

Properties
Excess energy over the best structure of this formula in the dataset   14.9 meV per atom
Volume   45.69 A^3/atom
Magnetic moment   0.0 μB/f.u.
E_tot   -11.18 eV/cell
ΔE_f   -24 kJ/mol of formula units

POSCAR file:
```
RbCaTl
1.0
5.328 0.000 0.000
0.000 5.328 0.000
0.000 0.000 9.656
Rb Ca Tl
2 2 2
direct
0.250 0.250 0.132
0.750 0.750 0.868
0.250 0.750 0.500
0.750 0.250 0.500
0.250 0.250 0.710
0.750 0.750 0.290
```